[1]
Compound: ZrCd3I
Source: Alexandria
Functional: PBE
Structure: relaxed

formation energy without anion corrections	0.632	eV per atom
relative energy among the computed polymorphs	0	meV/atom
magnetic moment	0.00	μB per formula unit

Lattice parameters (Å, degrees): 5.813 5.813 5.813 90.00 90.00 90.00
Fractional coordinates of all 5 atoms:
Zr 0.000 0.000 0.000
Cd 0.000 0.000 0.500
Cd 0.000 0.500 0.000
Cd 0.500 0.000 0.000
I 0.500 0.500 0.500

[2]
Compound: Zr3CdI
Source: Alexandria
Functional: PBE
Structure: relaxed

formation energy without anion corrections	0.845	eV per atom
relative energy among the computed polymorphs	0	meV/atom
magnetic moment	0.00	μB per formula unit

Lattice parameters (Å, degrees): 5.251 5.251 5.251 90.00 90.00 90.00
Fractional coordinates of all 5 atoms:
Zr 0.000 0.000 0.500
Zr 0.000 0.500 0.000
Zr 0.500 0.000 0.000
Cd 0.500 0.500 0.500
I 0.000 0.000 0.000

[3]
Compound: ZrCdI
Source: Alexandria
Functional: PBE
Structure: relaxed

formation energy without anion corrections	-0.177	eV per atom
magnetic moment	0.47	μB per formula unit

Lattice parameters (Å, degrees): 3.622 3.622 15.722 90.00 90.00 120.00
Fractional coordinates of all 6 atoms:
Zr 0.000 0.000 0.000
Zr 0.333 0.667 0.500
Cd 0.000 0.000 0.358
Cd 0.000 0.000 0.642
I 0.333 0.667 0.129
I 0.333 0.667 0.871

[4]
Compound: ZrCd2I8
Source: Alexandria
Functional: PBE
Structure: relaxed

formation energy without anion corrections	-0.665	eV per atom
magnetic moment	0.00	μB per formula unit

Lattice parameters (Å, degrees): 9.341 9.341 7.164 90.02 90.02 56.40
Fractional coordinates of all 11 atoms:
Zr 0.000 0.000 0.000
Cd 0.167 0.167 0.402
Cd 0.833 0.833 0.598
I 0.155 0.155 0.804
I 0.172 0.702 0.759
I 0.298 0.828 0.241
I 0.325 0.325 0.307
I 0.675 0.675 0.693
I 0.702 0.172 0.759
I 0.828 0.298 0.241
I 0.845 0.845 0.196